Record 1
Re3AgN5 | PBE-GGA | relaxed

Cell and atoms, written as POSCAR:
```
Re3AgN5
1.0
-4.499 -2.719 -0.774
3.401 0.708 -4.020
2.331 -4.207 1.231
N Re Ag
5 3 1
direct
0.000 0.000 0.500
0.333 0.667 0.235
0.667 0.333 0.765
0.333 0.667 0.765
0.667 0.333 0.235
0.500 0.000 0.500
0.500 0.500 0.500
0.000 0.500 0.500
0.000 0.000 0.000
```

- total magnetization (μB per cell) = 0.0
- space-group type = P6/mmm, No. 191
- E_tot (eV per atom) = -7.87

***

Record 2
TaSiTcNi | PBE-GGA | relaxed

Cell and atoms, written as POSCAR:
```
TaSiTcNi
1.0
-3.685 -1.635 -1.464
-3.716 1.108 1.833
-2.769 2.505 -2.110
Ni Si Tc Ta
1 1 1 1
direct
0.750 0.750 0.750
0.000 0.000 0.000
0.250 0.250 0.250
0.500 0.500 0.500
```

- total magnetization (μB per cell) = 0.0
- space-group type = F-43m, No. 216
- E_tot (eV per atom) = -8.60
- distance to the lowest polymorph of the same formula (kJ per mole of atoms) = 0.0

***

Record 3
NdCdInS3 | PBE-GGA | relaxed

Cell and atoms, written as POSCAR:
```
NdCdInS3
1.0
-3.511 -0.350 2.256
-1.300 -7.106 0.763
5.961 -0.096 9.262
Cd In S Nd
2 2 6 2
direct
0.544 0.913 0.250
0.456 0.087 0.750
0.741 0.518 0.750
0.259 0.482 0.250
0.930 0.140 0.250
0.633 0.734 0.447
0.633 0.734 0.053
0.070 0.860 0.750
0.367 0.266 0.553
0.367 0.266 0.947
0.000 0.000 0.500
0.000 0.000 0.000
```

- total magnetization (μB per cell) = 0.0
- space-group type = Cmcm, No. 63
- E_tot (eV per atom) = -4.50

***

Record 4
NaReNO | PBE-GGA | relaxed

Cell and atoms, written as POSCAR:
```
NaReNO
1.0
-1.800 -3.117 0.000
0.000 0.000 5.612
-4.835 2.791 0.000
Re N Na O
2 2 2 2
direct
0.000 0.489 0.395
0.000 0.989 0.605
0.000 0.814 0.310
0.000 0.314 0.690
0.500 0.535 0.876
0.500 0.035 0.124
0.500 0.416 0.277
0.500 0.916 0.723
```

- total magnetization (μB per cell) = 0.0
- space-group type = Pmc2_1, No. 26
- E_tot (eV per atom) = -7.27
- distance to the lowest polymorph of the same formula (kJ per mole of atoms) = 7.4

***

The lowest E_tot belongs to which entry?
TaSiTcNi

***

Which formula does entry 2 have?
TaSiTcNi